(1)
IrC3: relaxed, PBE-GGA.

Calculated values
D(E_F)	0.8	states/eV/cell
mass density	10.16	g/cm³
total magnetic moment	0.0	μB per formula unit

Geometry as CIF:
```
data_IrC3
_space_group_name_H-M_alt 'P 1'
_space_group_IT_number 1
_cell_length_a 2.5874
_cell_length_b 2.9165
_cell_length_c 5.6048
_cell_angle_alpha 100.52
_cell_angle_beta 90.04
_cell_angle_gamma 115.76
loop_
_space_group_symop_operation_xyz
'x,y,z'
loop_
_atom_site_label
_atom_site_type_symbol
_atom_site_fract_x
_atom_site_fract_y
_atom_site_fract_z
Ir1 Ir 0.0000 0.0000 0.0000
C1 C 0.0644 0.1292 0.3817
C2 C 0.5836 0.1695 0.5060
C3 C 0.6255 0.2540 0.7686
```


(2)
IrC3: relaxed, PBE-GGA.

Calculated values
D(E_F)	3.2	states/eV/cell
mass density	11.32	g/cm³
total magnetic moment	0.0	μB per formula unit

Geometry as CIF:
```
data_IrC3
_space_group_name_H-M_alt 'I m m m'
_space_group_IT_number 71
_space_group_name_Hall '-I 2 2'
_cell_length_a 2.5507
_cell_length_b 4.4409
_cell_length_c 5.9121
_cell_angle_alpha 90.00
_cell_angle_beta 90.00
_cell_angle_gamma 90.00
loop_
_atom_site_label
_atom_site_type_symbol
_atom_site_fract_x
_atom_site_fract_y
_atom_site_fract_z
Ir1 Ir 0.0000 0.0000 0.0000
C1 C 0.0000 0.0000 0.5000
C2 C 0.0000 0.5000 0.1838
```


Verdict on stability: (1) comes out on top.


(1)
KLiBe2: relaxed, PBE-GGA.

Calculated values
D(E_F)	5.4	states/eV/cell
mass density	1.14	g/cm³
total magnetic moment	0.0	μB per formula unit

Geometry as CIF:
```
data_KLiBe2
_space_group_name_H-M_alt 'I 41/a m d'
_space_group_IT_number 141
_cell_length_a 4.4713
_cell_length_b 4.4713
_cell_length_c 18.6784
_cell_angle_alpha 90.00
_cell_angle_beta 90.00
_cell_angle_gamma 90.00
loop_
_space_group_symop_operation_xyz
'x,y,z'
'-x,-y,-z'
'-y+1/4,x+3/4,z+1/4'
'y+1/4,-x+3/4,-z+1/4'
'-x+1/2,-y,z+1/2'
'x+1/2,y,-z+1/2'
'y+1/4,-x+1/4,z+3/4'
'-y+1/4,x+1/4,-z+3/4'
'x,-y,-z'
'-x,y,z'
'-y+1/4,-x+1/4,-z+3/4'
'y+1/4,x+1/4,z+3/4'
'-x+1/2,y,-z+1/2'
'x+1/2,-y,z+1/2'
'y+1/4,x+3/4,-z+1/4'
'-y+1/4,-x+3/4,z+1/4'
'x+1/2,y+1/2,z+1/2'
'-x+1/2,-y+1/2,-z+1/2'
'-y+3/4,x+1/4,z+3/4'
'y+3/4,-x+1/4,-z+3/4'
'-x,-y+1/2,z'
'x,y+1/2,-z'
'y+3/4,-x+3/4,z+1/4'
'-y+3/4,x+3/4,-z+1/4'
'x+1/2,-y+1/2,-z+1/2'
'-x+1/2,y+1/2,z+1/2'
'-y+3/4,-x+3/4,-z+1/4'
'y+3/4,x+3/4,z+1/4'
'-x,y+1/2,-z'
'x,-y+1/2,z'
'y+3/4,x+1/4,-z+3/4'
'-y+3/4,-x+1/4,z+3/4'
loop_
_atom_site_label
_atom_site_type_symbol
_atom_site_fract_x
_atom_site_fract_y
_atom_site_fract_z
K1 K 0.0000 0.2500 0.3750
Li1 Li 0.0000 0.2500 0.8750
Be1 Be 0.0000 0.0000 0.0000
```


(2)
KLiBe2: relaxed, PBE-GGA.

Calculated values
D(E_F)	2.5	states/eV/cell
mass density	1.30	g/cm³
total magnetic moment	0.0	μB per formula unit

Geometry as CIF:
```
data_KLiBe2
_space_group_name_H-M_alt 'P 4/m m m'
_space_group_IT_number 123
_space_group_name_Hall '-P 4 2'
_cell_length_a 5.5764
_cell_length_b 5.5764
_cell_length_c 2.6344
_cell_angle_alpha 90.00
_cell_angle_beta 90.00
_cell_angle_gamma 90.00
loop_
_atom_site_label
_atom_site_type_symbol
_atom_site_fract_x
_atom_site_fract_y
_atom_site_fract_z
K1 K 0.0000 0.0000 0.0000
Li1 Li 0.5000 0.5000 0.0000
Be1 Be 0.0000 0.5000 0.5000
```


Verdict on stability: (1) comes out on top.


(1)
NiRuSe2: relaxed, PBE-GGA.

Calculated values
D(E_F)	22.1	states/eV/cell
mass density	8.43	g/cm³
total magnetic moment	0.5	μB per formula unit

Geometry as CIF:
```
data_NiRuSe2
_space_group_name_H-M_alt 'F -4 3 m'
_space_group_IT_number 216
_space_group_name_Hall 'F -4 2 3'
_cell_length_a 6.3021
_cell_length_b 6.3021
_cell_length_c 6.3021
_cell_angle_alpha 90.00
_cell_angle_beta 90.00
_cell_angle_gamma 90.00
loop_
_atom_site_label
_atom_site_type_symbol
_atom_site_fract_x
_atom_site_fract_y
_atom_site_fract_z
Ni1 Ni 0.0000 0.0000 0.0000
Ru1 Ru 0.2500 0.2500 0.7500
Se1 Se 0.0000 0.0000 0.5000
Se2 Se 0.2500 0.2500 0.2500
```


(2)
NiRuSe2: relaxed, PBE-GGA.

Calculated values
D(E_F)	13.2	states/eV/cell
mass density	7.97	g/cm³
total magnetic moment	0.1	μB per formula unit

Geometry as CIF:
```
data_NiRuSe2
_space_group_name_H-M_alt 'C m m m'
_space_group_IT_number 65
_space_group_name_Hall '-C 2 2'
_cell_length_a 3.0757
_cell_length_b 5.5579
_cell_length_c 7.7460
_cell_angle_alpha 90.00
_cell_angle_beta 90.00
_cell_angle_gamma 90.00
loop_
_atom_site_label
_atom_site_type_symbol
_atom_site_fract_x
_atom_site_fract_y
_atom_site_fract_z
Ni1 Ni 0.0000 0.0000 0.0000
Ru1 Ru 0.0000 0.0000 0.5000
Se1 Se 0.0000 0.5000 0.2418
```


Verdict on stability: (2) comes out on top.


(1)
NaScC: relaxed, PBE-GGA.

Calculated values
D(E_F)	7.5	states/eV/cell
mass density	2.79	g/cm³
total magnetic moment	0.0	μB per formula unit

Geometry as CIF:
```
data_NaScC
_space_group_name_H-M_alt 'I m m a'
_space_group_IT_number 74
_space_group_name_Hall '-I 2b 2'
_cell_length_a 5.5573
_cell_length_b 5.7340
_cell_length_c 5.9745
_cell_angle_alpha 90.00
_cell_angle_beta 90.00
_cell_angle_gamma 90.00
loop_
_atom_site_label
_atom_site_type_symbol
_atom_site_fract_x
_atom_site_fract_y
_atom_site_fract_z
Na1 Na 0.0000 0.2500 0.0665
Sc1 Sc 0.0000 0.0000 0.5000
C1 C 0.2500 0.2500 0.7500
```


(2)
NaScC: relaxed, PBE-GGA.

Calculated values
D(E_F)	5.6	states/eV/cell
mass density	1.96	g/cm³
total magnetic moment	0.0	μB per formula unit

Geometry as CIF:
```
data_NaScC
_space_group_name_H-M_alt 'P 1 m 1'
_space_group_IT_number 6
_cell_length_a 3.7858
_cell_length_b 5.3675
_cell_length_c 6.9218
_cell_angle_alpha 90.00
_cell_angle_beta 105.65
_cell_angle_gamma 90.00
loop_
_space_group_symop_operation_xyz
'x,y,z'
'x,-y,z'
loop_
_atom_site_label
_atom_site_type_symbol
_atom_site_fract_x
_atom_site_fract_y
_atom_site_fract_z
Na1 Na 0.0000 0.0000 0.0000
Na2 Na 0.1599 0.5000 0.2977
Sc1 Sc 0.3848 0.5000 0.7629
Sc2 Sc 0.7627 0.0000 0.5139
C1 C 0.8167 0.3707 0.6248
```


Verdict on stability: (2) comes out on top.